# 1
{
  "formula": "Ba2Y2Te",
  "functional": "PBE-GGA",
  "state": "optimized geometry",
  "magmom_total_mub_per_fu": 0.0,
  "e_form_raw_ev_per_atom": -0.2778,
  "space_group": "P4/mbm",
  "final_energy_ev_per_atom": -4.26,
  "lattice_angstrom": [[8.175, 0.000, 0.000], [0.000, 8.175, 0.000], [0.000, 0.000, 6.184]],
  "species": ["Ba", "Ba", "Ba", "Ba", "Y", "Y", "Y", "Y", "Te", "Te"],
  "frac_coords": [[0.163, 0.337, 0.000], [0.337, 0.837, 0.000], [0.663, 0.163, 0.000], [0.837, 0.663, 0.000], [0.151, 0.651, 0.500], [0.349, 0.151, 0.500], [0.651, 0.849, 0.500], [0.849, 0.349, 0.500], [0.000, 0.000, 0.500], [0.500, 0.500, 0.500]]
}


# 2
{
  "formula": "Ba2YTe2",
  "functional": "PBE-GGA",
  "state": "optimized geometry",
  "magmom_total_mub_per_fu": 1.0,
  "e_form_raw_ev_per_atom": -1.1502,
  "space_group": "P4/mbm",
  "final_energy_ev_per_atom": -4.47,
  "lattice_angstrom": [[8.821, 0.000, 0.000], [0.000, 8.821, 0.000], [0.000, 0.000, 4.840]],
  "species": ["Ba", "Ba", "Ba", "Ba", "Y", "Y", "Te", "Te", "Te", "Te"],
  "frac_coords": [[0.150, 0.350, 0.000], [0.350, 0.850, 0.000], [0.650, 0.150, 0.000], [0.850, 0.650, 0.000], [0.000, 0.000, 0.500], [0.500, 0.500, 0.500], [0.161, 0.661, 0.500], [0.339, 0.161, 0.500], [0.661, 0.839, 0.500], [0.839, 0.339, 0.500]]
}


# 3
{
  "formula": "BaYTe2",
  "functional": "PBE-GGA",
  "state": "optimized geometry",
  "magmom_total_mub_per_fu": 0.5,
  "e_form_raw_ev_per_atom": -1.1719,
  "space_group": "R-3m",
  "final_energy_ev_per_atom": -4.84,
  "lattice_angstrom": [[2.258, 1.304, 10.121], [-2.258, 1.304, 10.121], [0.000, -2.608, 10.121]],
  "species": ["Ba", "Y", "Te", "Te"],
  "frac_coords": [[0.000, 0.000, 0.000], [0.500, 0.500, 0.500], [0.111, 0.111, 0.111], [0.889, 0.889, 0.889]]
}